[1]
## PRuF3 (GGA-PBE)

Data for PRuF3 after structural relaxation.

The distance to the lowest polymorph of the same formula is 0 meV/atom. Its total DFT energy (no corrections) is -4.27 eV/atom. The mass density is 4.4 Mg/m³. As for the space-group type: No. 221. The raw formation energy is -20.7 kJ per mole of atoms.

a b c (Å): 4.1362 4.1362 4.1362
angles (deg): 90.00 90.00 90.00
With the nearest neighbours (Å) after each atom.
Positions (direct):
1 Ru 0.0000 0.0000 0.0000  6 F 2.07
2 F 0.0000 0.5000 0.0000  2 Ru 2.07
3 F 0.0000 0.0000 0.5000  2 Ru 2.07
4 F 0.5000 0.0000 0.0000  2 Ru 2.07
5 P 0.5000 0.5000 0.5000  12 F 2.92

[2]
## Zn3Cu2Au2 (GGA-PBE)

Data for Zn3Cu2Au2 after structural relaxation.

The distance to the lowest polymorph of the same formula is 0 meV/atom. Its total DFT energy (no corrections) is -2.75 eV/atom. The mass density is 11.3 Mg/m³. The calculation puts the formation energy at -0.0943 eV per atom. As for the space-group type: No. 12.

a b c (Å): 4.4309 4.4130 6.7302
angles (deg): 90.38 109.13 120.18
With the nearest neighbours (Å) after each atom.
Positions (direct):
1 Zn 0.0000 0.0000 0.0000  2 Cu 2.61, 6 Zn 2.75-2.77
2 Zn 0.5529 0.2758 0.8298  1 Cu 2.55, 4 Au 2.61-2.72, 3 Zn 2.75-2.77
3 Zn 0.4471 0.7242 0.1702  1 Cu 2.55, 4 Au 2.61-2.72, 3 Zn 2.75-2.77
4 Cu 0.2801 0.1412 0.4193  2 Zn 2.55-2.61, 3 Au 2.71-2.73, 3 Cu 2.71-2.76
5 Cu 0.7199 0.8588 0.5807  2 Zn 2.55-2.61, 3 Au 2.71-2.73, 3 Cu 2.71-2.76
6 Au 0.8455 0.4231 0.2680  4 Zn 2.61-2.72, 3 Cu 2.71-2.73, 1 Au 2.88
7 Au 0.1545 0.5769 0.7320  4 Zn 2.61-2.72, 3 Cu 2.71-2.73, 1 Au 2.88

[3]
## LaScTcRh2 (GGA-PBE)

Data for LaScTcRh2 after structural relaxation.

Its total DFT energy (no corrections) is -5.77 eV/atom. The mass density is 7.2 Mg/m³. The calculation puts the formation energy at 1.4975 eV per atom. As for the space-group type: No. 123.

a b c (Å): 4.7059 5.0788 4.7059
angles (deg): 90.00 90.00 90.00
With the nearest neighbours (Å) after each atom.
Positions (direct):
1 Sc 0.0000 0.5000 0.0000  2 La 2.54
2 Rh 0.0000 0.0000 0.5000  2 La 2.35
3 Rh 0.5000 0.0000 0.0000  2 La 2.35
4 Tc 0.5000 0.5000 0.5000  4 Sc 3.33, 8 Rh 3.46
5 La 0.0000 0.0000 0.0000  4 Rh 2.35, 2 Sc 2.54

[4]
## Zr2ScCo4 (GGA-PBE)

Data for Zr2ScCo4 after structural relaxation.

Its total DFT energy (no corrections) is -7.30 eV/atom. The mass density is 6.7 Mg/m³. The calculation puts the formation energy at 0.1062 eV per atom. As for the space-group type: No. 139.

a b c (Å): 5.3060 5.3060 5.3060
angles (deg): 107.82 110.30 110.30
With the nearest neighbours (Å) after each atom.
Positions (direct):
1 Zr 0.5000 0.5000 0.0000  8 Co 2.65
2 Zr 0.5000 0.0000 0.5000  8 Co 2.65
3 Sc 0.0000 0.0000 0.0000  8 Co 2.65
4 Co 0.5000 0.0000 0.0000  2 Sc 2.65, 4 Zr 2.65
5 Co 0.5000 0.5000 0.5000  4 Zr 2.65, 2 Sc 2.65
6 Co 0.0000 0.0000 0.5000  4 Zr 2.65, 2 Sc 2.65
7 Co 0.0000 0.5000 0.0000  4 Zr 2.65, 2 Sc 2.65

[5]
## Cs2FeBrCl6 (GGA-PBE)

Data for Cs2FeBrCl6 after structural relaxation.

Its total DFT energy (no corrections) is -3.39 eV/atom. The mass density is 3.1 Mg/m³. As for the space-group type: No. 139. The raw formation energy is -106.1 kJ per mole of atoms.

a b c (Å): 7.9526 7.9526 7.6610
angles (deg): 58.73 58.73 90.00
With the nearest neighbours (Å) after each atom.
Positions (direct):
1 Cs 0.7500 0.2500 0.5000  12 Cl 3.87-3.98
2 Cs 0.2500 0.7500 0.5000  12 Cl 3.87-3.98
3 Fe 0.5000 0.5000 0.0000  4 Cl 2.23
4 Br 0.0000 0.0000 0.0000  2 Cl 2.49
5 Cl 0.2390 0.2390 0.5219  1 Br 2.49, 1 Fe 2.72
6 Cl 0.7610 0.7610 0.4781  1 Br 2.49, 1 Fe 2.72
7 Cl 0.3018 0.3018 0.0000  1 Fe 2.23
8 Cl 0.6982 0.6982 0.0000  1 Fe 2.23
9 Cl 0.6982 0.3018 0.0000  1 Fe 2.23
10 Cl 0.3018 0.6982 0.0000  1 Fe 2.23

[6]
## LaPrTh4 (GGA-PBE)

Data for LaPrTh4 after structural relaxation.

The distance to the lowest polymorph of the same formula is 186 meV/atom. Its total DFT energy (no corrections) is -6.33 eV/atom. The mass density is 9.4 Mg/m³. The calculation puts the formation energy at 0.2384 eV per atom. As for the space-group type: No. 216.

a b c (Å): 6.7019 6.7019 6.7019
angles (deg): 60.00 60.00 60.00
With the nearest neighbours (Å) after each atom.
Positions (direct):
1 Pr 0.0000 0.0000 0.0000  12 Th 3.93, 4 La 4.10
2 Th 0.6252 0.6252 0.1244  6 Th 3.35-3.36
3 Th 0.6252 0.1244 0.6252  6 Th 3.35-3.36
4 Th 0.6252 0.6252 0.6252  6 Th 3.35-3.36
5 Th 0.1244 0.6252 0.6252  6 Th 3.35-3.36
6 La 0.2500 0.2500 0.2500  12 Th 3.93, 4 Pr 4.10

[7]
## Mg2Os (GGA-PBE)

Data for Mg2Os after structural relaxation.

Its total DFT energy (no corrections) is -4.73 eV/atom. The mass density is 7.5 Mg/m³. The calculation puts the formation energy at 0.0791 eV per atom. As for the space-group type: No. 62.

a b c (Å): 5.6104 4.4879 8.4309
angles (deg): 90.00 90.00 90.00
With the nearest neighbours (Å) after each atom.
Positions (direct):
1 Mg 0.2213 0.2500 0.2952  4 Os 2.75-2.94, 7 Mg 2.85-2.95
2 Mg 0.0955 0.2500 0.6223  5 Mg 2.85-2.95, 5 Os 2.90-3.10
3 Mg 0.4045 0.7500 0.1223  5 Mg 2.85-2.95, 5 Os 2.90-3.10
4 Mg 0.2787 0.7500 0.7952  4 Os 2.75-2.94, 7 Mg 2.85-2.95
5 Mg 0.7213 0.2500 0.2048  4 Os 2.75-2.94, 7 Mg 2.85-2.95
6 Mg 0.5955 0.2500 0.8777  5 Mg 2.85-2.95, 5 Os 2.90-3.10
7 Mg 0.9045 0.7500 0.3777  5 Mg 2.85-2.95, 5 Os 2.90-3.10
8 Mg 0.7787 0.7500 0.7048  4 Os 2.75-2.94, 7 Mg 2.85-2.95
9 Os 0.0881 0.2500 0.9812  2 Os 2.47, 1 Mg 2.75
10 Os 0.4119 0.7500 0.4812  2 Os 2.47, 1 Mg 2.75
11 Os 0.5881 0.2500 0.5188  2 Os 2.47, 1 Mg 2.75
12 Os 0.9119 0.7500 0.0188  2 Os 2.47, 1 Mg 2.75

[8]
## BaZn2PbCl8 (GGA-PBE)

Data for BaZn2PbCl8 after structural relaxation.

Its total DFT energy (no corrections) is -3.35 eV/atom. The mass density is 3.5 Mg/m³. As for the space-group type: No. 147. The raw formation energy is -139.1 kJ per mole of atoms.

a b c (Å): 6.5061 6.5061 9.7543
angles (deg): 90.00 90.00 120.00
With the nearest neighbours (Å) after each atom.
Positions (direct):
1 Ba 0.0000 0.0000 0.0000  12 Cl 3.51-3.76
2 Zn 0.6667 0.3333 0.2288  4 Cl 2.26-2.28
3 Zn 0.3333 0.6667 0.7712  4 Cl 2.26-2.28
4 Pb 0.0000 0.0000 0.5000  6 Cl 2.90
5 Cl 0.3333 0.6667 0.0031  1 Zn 2.26
6 Cl 0.3196 0.3156 0.2909  1 Zn 2.28
7 Cl 0.6844 0.0040 0.2909  1 Zn 2.28
8 Cl 0.6667 0.3333 0.9969  1 Zn 2.26
9 Cl 0.3156 0.9960 0.7091  1 Zn 2.28
10 Cl 0.6804 0.6844 0.7091  1 Zn 2.28
11 Cl 0.0040 0.3196 0.7091  1 Zn 2.28
12 Cl 0.9960 0.6804 0.2909  1 Zn 2.28